i.
The following is a DFT calculation (GGA-PBE) of a relaxed structure of Nd12DyY7.

The value obtained for the volume is 34.699 A^3/atom. The magnetization comes out at 0.0 μB/f.u.

CIF file:
```
data_Nd12DyY7
_chemical_formula_sum 'Nd36 Dy3 Y21'
_cell_length_a 12.3613
_cell_length_b 12.3613
_cell_length_c 15.7330
_cell_angle_alpha 90.00
_cell_angle_beta 90.00
_cell_angle_gamma 120.00
_space_group_name_H-M_alt 'R -3'
_space_group_IT_number 148
_space_group_name_Hall '-R 3'
loop_
_atom_site_label
_atom_site_type_symbol
_atom_site_fract_x
_atom_site_fract_y
_atom_site_fract_z
Nd1 Nd 0.0195 0.4458 0.2192
Nd2 Nd 0.0586 0.5914 0.5812
Dy1 Dy 0.0000 0.0000 0.5000
Y1 Y 0.0000 0.0000 0.0000
Y2 Y 0.0519 0.1866 0.2995
```

***

ii.
The following is a DFT calculation (GGA-PBE) of a relaxed structure of Nd12DyY7.

The value obtained for the volume is 35.384 A^3/atom. The magnetization comes out at 0.0 μB/f.u.

CIF file:
```
data_Nd12DyY7
_chemical_formula_sum 'Nd36 Dy3 Y21'
_cell_length_a 18.9374
_cell_length_b 18.9374
_cell_length_c 6.8357
_cell_angle_alpha 90.00
_cell_angle_beta 90.00
_cell_angle_gamma 120.00
_space_group_name_H-M_alt 'R -3'
_space_group_IT_number 148
_space_group_name_Hall '-R 3'
loop_
_atom_site_label
_atom_site_type_symbol
_atom_site_fract_x
_atom_site_fract_y
_atom_site_fract_z
Nd1 Nd 0.0007 0.7893 0.2849
Nd2 Nd 0.0060 0.4707 0.7428
Dy1 Dy 0.0000 0.0000 0.0000
Y1 Y 0.0000 0.0000 0.5000
Y2 Y 0.0068 0.8524 0.7775
```

***

Most stable: i

***

i.
The following is a DFT calculation (GGA-PBE) of a relaxed structure of Nd6Dy8Y.

The value obtained for the volume is 33.592 A^3/atom. The magnetization comes out at 0.0 μB/f.u.

CIF file:
```
data_Nd6Dy8Y
_chemical_formula_sum 'Nd6 Dy8 Y1'
_cell_length_a 9.4201
_cell_length_b 9.4201
_cell_length_c 6.5567
_cell_angle_alpha 90.00
_cell_angle_beta 90.00
_cell_angle_gamma 120.00
_space_group_name_H-M_alt 'P -3'
_space_group_IT_number 147
loop_
_space_group_symop_operation_xyz
'x,y,z'
'-x,-y,-z'
'-y,x-y,z'
'y,-x+y,-z'
'-x+y,-x,z'
'x-y,x,-z'
loop_
_atom_site_label
_atom_site_type_symbol
_atom_site_fract_x
_atom_site_fract_y
_atom_site_fract_z
Nd1 Nd 0.0331 0.2888 0.1633
Dy1 Dy 0.0938 0.4374 0.6564
Dy2 Dy 0.3333 0.6667 0.1180
Y1 Y 0.0000 0.0000 0.5000
```

***

ii.
The following is a DFT calculation (GGA-PBE) of a relaxed structure of Nd6Dy8Y.

The value obtained for the volume is 33.651 A^3/atom. The magnetization comes out at 0.0 μB/f.u.

CIF file:
```
data_Nd6Dy8Y
_chemical_formula_sum 'Nd18 Dy24 Y3'
_cell_length_a 9.1419
_cell_length_b 9.1419
_cell_length_c 20.9223
_cell_angle_alpha 90.00
_cell_angle_beta 90.00
_cell_angle_gamma 120.00
_space_group_name_H-M_alt 'R -3'
_space_group_IT_number 148
_space_group_name_Hall '-R 3'
loop_
_atom_site_label
_atom_site_type_symbol
_atom_site_fract_x
_atom_site_fract_y
_atom_site_fract_z
Nd1 Nd 0.0605 0.2477 0.2102
Dy1 Dy 0.0000 0.0000 0.0769
Dy2 Dy 0.0808 0.5556 0.3072
Y1 Y 0.0000 0.0000 0.5000
```

***

Most stable: ii

***

i.
The following is a DFT calculation (GGA-PBE) of a relaxed structure of Nd2Dy3Y3.

The value obtained for the volume is 32.694 A^3/atom. The magnetization comes out at 0.0 μB/f.u.

CIF file:
```
data_Nd2Dy3Y3
_chemical_formula_sum 'Nd4 Dy6 Y6'
_cell_length_a 5.084
_cell_length_b 5.084
_cell_length_c 20.239
_cell_angle_alpha 90.00
_cell_angle_beta 90.00
_cell_angle_gamma 90.00
_space_group_name_H-M_alt 'I m m m'
_space_group_IT_number 71
_space_group_name_Hall '-I 2 2'
loop_
_atom_site_label
_atom_site_type_symbol
_atom_site_fract_x
_atom_site_fract_y
_atom_site_fract_z
Nd1 Nd 0.000 0.000 0.250
Dy1 Dy 0.000 0.000 0.000
Dy2 Dy 0.000 0.500 0.123
Y1 Y 0.000 0.000 0.500
Y2 Y 0.000 0.500 0.377
```

***

ii.
The following is a DFT calculation (GGA-PBE) of a relaxed structure of Nd2Dy3Y3.

The value obtained for the volume is 32.626 A^3/atom. The magnetization comes out at 0.0 μB/f.u.

CIF file:
```
data_Nd2Dy3Y3
_chemical_formula_sum 'Nd4 Dy6 Y6'
_cell_length_a 24.009
_cell_length_b 3.606
_cell_length_c 6.243
_cell_angle_alpha 90.00
_cell_angle_beta 105.04
_cell_angle_gamma 90.00
_space_group_name_H-M_alt 'C 1 2/m 1'
_space_group_IT_number 12
loop_
_space_group_symop_operation_xyz
'x,y,z'
'-x,-y,-z'
'-x,y,-z'
'x,-y,z'
'x+1/2,y+1/2,z'
'-x+1/2,-y+1/2,-z'
'-x+1/2,y+1/2,-z'
'x+1/2,-y+1/2,z'
loop_
_atom_site_label
_atom_site_type_symbol
_atom_site_fract_x
_atom_site_fract_y
_atom_site_fract_z
Nd1 Nd 0.249 0.000 0.250
Dy1 Dy 0.000 0.500 0.500
Dy2 Dy 0.124 0.500 0.292
Y1 Y 0.000 0.000 0.000
Y2 Y 0.124 0.000 0.790
```

***

Most stable: ii

***

i.
The following is a DFT calculation (GGA-PBE) of a relaxed structure of Nd4Dy2Y5.

The value obtained for the volume is 34.013 A^3/atom. The magnetization comes out at 0.0 μB/f.u.

CIF file:
```
data_Nd4Dy2Y5
_chemical_formula_sum 'Nd8 Dy4 Y10'
_cell_length_a 24.232
_cell_length_b 3.561
_cell_length_c 8.699
_cell_angle_alpha 90.00
_cell_angle_beta 94.55
_cell_angle_gamma 90.00
_space_group_name_H-M_alt 'C 1 2/m 1'
_space_group_IT_number 12
loop_
_space_group_symop_operation_xyz
'x,y,z'
'-x,-y,-z'
'-x,y,-z'
'x,-y,z'
'x+1/2,y+1/2,z'
'-x+1/2,-y+1/2,-z'
'-x+1/2,y+1/2,-z'
'x+1/2,-y+1/2,z'
loop_
_atom_site_label
_atom_site_type_symbol
_atom_site_fract_x
_atom_site_fract_y
_atom_site_fract_z
Nd1 Nd 0.040 0.000 0.343
Nd2 Nd 0.225 0.500 0.826
Dy1 Dy 0.088 0.500 0.696
Y1 Y 0.000 0.500 0.000
Y2 Y 0.130 0.000 0.046
Y3 Y 0.185 0.000 0.474
```

***

ii.
The following is a DFT calculation (GGA-PBE) of a relaxed structure of Nd4Dy2Y5.

The value obtained for the volume is 33.858 A^3/atom. The magnetization comes out at 0.0 μB/f.u.

CIF file:
```
data_Nd4Dy2Y5
_chemical_formula_sum 'Nd8 Dy4 Y10'
_cell_length_a 24.225
_cell_length_b 3.545
_cell_length_c 8.716
_cell_angle_alpha 90.00
_cell_angle_beta 95.67
_cell_angle_gamma 90.00
_space_group_name_H-M_alt 'C 1 2/m 1'
_space_group_IT_number 12
loop_
_space_group_symop_operation_xyz
'x,y,z'
'-x,-y,-z'
'-x,y,-z'
'x,-y,z'
'x+1/2,y+1/2,z'
'-x+1/2,-y+1/2,-z'
'-x+1/2,y+1/2,-z'
'x+1/2,-y+1/2,z'
loop_
_atom_site_label
_atom_site_type_symbol
_atom_site_fract_x
_atom_site_fract_y
_atom_site_fract_z
Nd1 Nd 0.048 0.000 0.349
Nd2 Nd 0.227 0.500 0.828
Dy1 Dy 0.141 0.500 0.128
Y1 Y 0.000 0.500 0.000
Y2 Y 0.095 0.000 0.776
Y3 Y 0.188 0.000 0.480
```

***

Most stable: ii

***

i.
The following is a DFT calculation (GGA-PBE) of a relaxed structure of NdDy2Y2.

The value obtained for the volume is 32.829 A^3/atom. The magnetization comes out at 0.0 μB/f.u.

CIF file:
```
data_NdDy2Y2
_chemical_formula_sum 'Nd4 Dy8 Y8'
_cell_length_a 12.425
_cell_length_b 5.837
_cell_length_c 9.618
_cell_angle_alpha 90.00
_cell_angle_beta 109.72
_cell_angle_gamma 90.00
_space_group_name_H-M_alt 'C 1 2/m 1'
_space_group_IT_number 12
loop_
_space_group_symop_operation_xyz
'x,y,z'
'-x,-y,-z'
'-x,y,-z'
'x,-y,z'
'x+1/2,y+1/2,z'
'-x+1/2,-y+1/2,-z'
'-x+1/2,y+1/2,-z'
'x+1/2,-y+1/2,z'
loop_
_atom_site_label
_atom_site_type_symbol
_atom_site_fract_x
_atom_site_fract_y
_atom_site_fract_z
Nd1 Nd 0.050 0.000 0.348
Dy1 Dy 0.154 0.000 0.044
Dy2 Dy 0.237 0.500 0.263
Y1 Y 0.055 0.500 0.868
Y2 Y 0.145 0.500 0.573
```

***

ii.
The following is a DFT calculation (GGA-PBE) of a relaxed structure of NdDy2Y2.

The value obtained for the volume is 33.254 A^3/atom. The magnetization comes out at 0.0 μB/f.u.

CIF file:
```
data_NdDy2Y2
_chemical_formula_sum 'Nd2 Dy4 Y4'
_cell_length_a 9.406
_cell_length_b 9.406
_cell_length_c 3.759
_cell_angle_alpha 90.00
_cell_angle_beta 90.00
_cell_angle_gamma 90.00
_space_group_name_H-M_alt 'P 4/m b m'
_space_group_IT_number 127
_space_group_name_Hall '-P 4 2ab'
loop_
_atom_site_label
_atom_site_type_symbol
_atom_site_fract_x
_atom_site_fract_y
_atom_site_fract_z
Nd1 Nd 0.000 0.000 0.000
Dy1 Dy 0.125 0.375 0.000
Y1 Y 0.172 0.672 0.500
```

***

Most stable: ii

***

i.
The following is a DFT calculation (GGA-PBE) of a relaxed structure of NdDyY3.

The value obtained for the volume is 32.664 A^3/atom. The magnetization comes out at 0.0 μB/f.u.

CIF file:
```
data_NdDyY3
_chemical_formula_sum 'Nd2 Dy2 Y6'
_cell_length_a 8.019
_cell_length_b 5.079
_cell_length_c 8.019
_cell_angle_alpha 90.00
_cell_angle_beta 90.02
_cell_angle_gamma 90.00
_space_group_name_H-M_alt 'P 1 21/m 1'
_space_group_IT_number 11
loop_
_space_group_symop_operation_xyz
'x,y,z'
'-x,-y,-z'
'-x,y+1/2,-z'
'x,-y+1/2,z'
loop_
_atom_site_label
_atom_site_type_symbol
_atom_site_fract_x
_atom_site_fract_y
_atom_site_fract_z
Nd1 Nd 0.049 0.250 0.150
Dy1 Dy 0.251 0.250 0.749
Y1 Y 0.150 0.750 0.450
Y2 Y 0.352 0.750 0.050
Y3 Y 0.452 0.250 0.351
```

***

ii.
The following is a DFT calculation (GGA-PBE) of a relaxed structure of NdDyY3.

The value obtained for the volume is 33.051 A^3/atom. The magnetization comes out at 0.0 μB/f.u.

CIF file:
```
data_NdDyY3
_chemical_formula_sum 'Nd8 Dy8 Y24'
_cell_length_a 9.087
_cell_length_b 15.058
_cell_length_c 9.808
_cell_angle_alpha 90.00
_cell_angle_beta 99.91
_cell_angle_gamma 90.00
_space_group_name_H-M_alt 'C 1 2/c 1'
_space_group_IT_number 15
loop_
_space_group_symop_operation_xyz
'x,y,z'
'-x,-y,-z'
'-x,y,-z+1/2'
'x,-y,z+1/2'
'x+1/2,y+1/2,z'
'-x+1/2,-y+1/2,-z'
'-x+1/2,y+1/2,-z+1/2'
'x+1/2,-y+1/2,z+1/2'
loop_
_atom_site_label
_atom_site_type_symbol
_atom_site_fract_x
_atom_site_fract_y
_atom_site_fract_z
Nd1 Nd 0.243 0.050 0.044
Dy1 Dy 0.000 0.018 0.750
Dy2 Dy 0.000 0.406 0.250
Y1 Y 0.066 0.189 0.443
Y2 Y 0.101 0.396 0.618
Y3 Y 0.202 0.222 0.814
```

***

Most stable: i

***

i.
The following is a DFT calculation (GGA-PBE) of a relaxed structure of NdDy9Y2.

The value obtained for the volume is 31.911 A^3/atom. The magnetization comes out at 0.0 μB/f.u.

CIF file:
```
data_NdDy9Y2
_chemical_formula_sum 'Nd1 Dy9 Y2'
_cell_length_a 5.035
_cell_length_b 5.035
_cell_length_c 15.106
_cell_angle_alpha 90.00
_cell_angle_beta 90.00
_cell_angle_gamma 90.00
_space_group_name_H-M_alt 'P 4/m m m'
_space_group_IT_number 123
_space_group_name_Hall '-P 4 2'
loop_
_atom_site_label
_atom_site_type_symbol
_atom_site_fract_x
_atom_site_fract_y
_atom_site_fract_z
Nd1 Nd 0.000 0.000 0.000
Dy1 Dy 0.000 0.500 0.168
Dy2 Dy 0.000 0.500 0.500
Dy3 Dy 0.500 0.500 0.000
Dy4 Dy 0.500 0.500 0.335
Y1 Y 0.000 0.000 0.334
```

***

ii.
The following is a DFT calculation (GGA-PBE) of a relaxed structure of NdDy9Y2.

The value obtained for the volume is 32.129 A^3/atom. The magnetization comes out at 0.0 μB/f.u.

CIF file:
```
data_NdDy9Y2
_chemical_formula_sum 'Nd1 Dy9 Y2'
_cell_length_a 11.2661
_cell_length_b 11.2661
_cell_length_c 3.5076
_cell_angle_alpha 90.00
_cell_angle_beta 90.00
_cell_angle_gamma 120.00
_space_group_name_H-M_alt 'P 6/m m m'
_space_group_IT_number 191
_space_group_name_Hall '-P 6 2'
loop_
_atom_site_label
_atom_site_type_symbol
_atom_site_fract_x
_atom_site_fract_y
_atom_site_fract_z
Nd1 Nd 0.0000 0.0000 0.0000
Dy1 Dy 0.0000 0.5000 0.0000
Dy2 Dy 0.1772 0.3543 0.5000
Y1 Y 0.3333 0.6667 0.0000
```

***

Most stable: i

***

i.
The following is a DFT calculation (GGA-PBE) of a relaxed structure of NdDy3Y4.

The value obtained for the volume is 33.308 A^3/atom. The magnetization comes out at 0.0 μB/f.u.

CIF file:
```
data_NdDy3Y4
_chemical_formula_sum 'Nd2 Dy6 Y8'
_cell_length_a 5.667
_cell_length_b 26.414
_cell_length_c 3.560
_cell_angle_alpha 90.00
_cell_angle_beta 90.00
_cell_angle_gamma 90.00
_space_group_name_H-M_alt 'C m m m'
_space_group_IT_number 65
_space_group_name_Hall '-C 2 2'
loop_
_atom_site_label
_atom_site_type_symbol
_atom_site_fract_x
_atom_site_fract_y
_atom_site_fract_z
Nd1 Nd 0.000 0.000 0.000
Dy1 Dy 0.000 0.344 0.000
Dy2 Dy 0.000 0.500 0.500
Y1 Y 0.000 0.105 0.500
Y2 Y 0.000 0.224 0.500
```

***

ii.
The following is a DFT calculation (GGA-PBE) of a relaxed structure of NdDy3Y4.

The value obtained for the volume is 32.765 A^3/atom. The magnetization comes out at 0.0 μB/f.u.

CIF file:
```
data_NdDy3Y4
_chemical_formula_sum 'Nd2 Dy6 Y8'
_cell_length_a 11.346
_cell_length_b 7.313
_cell_length_c 6.318
_cell_angle_alpha 90.00
_cell_angle_beta 90.00
_cell_angle_gamma 90.00
_space_group_name_H-M_alt 'P m n 21'
_space_group_IT_number 31
loop_
_space_group_symop_operation_xyz
'x,y,z'
'-x+1/2,-y,z+1/2'
'-x,y,z'
'x+1/2,-y,z+1/2'
loop_
_atom_site_label
_atom_site_type_symbol
_atom_site_fract_x
_atom_site_fract_y
_atom_site_fract_z
Nd1 Nd 0.000 0.124 0.000
Dy1 Dy 0.000 0.875 0.499
Dy2 Dy 0.250 0.125 0.330
Y1 Y 0.000 0.375 0.497
Y2 Y 0.000 0.625 0.996
Y3 Y 0.248 0.625 0.333
```

***

Most stable: ii